No. 1
Computed, not measured: LiEr3Sn3 after structural relaxation at the GGA-PBE level of DFT.

Lattice parameters (Å, degrees): 4.5281 6.0833 14.0129 82.80 80.70 68.15
Sites, in units of the cell vectors:
Li 0.7615 0.0794 0.3976
Li 0.2385 0.9206 0.6024
Er 0.5341 0.3168 0.6150
Er 0.4659 0.6832 0.3850
Er 0.2594 0.2579 0.2232
Er 0.7406 0.7421 0.7768
Er 0.4074 0.2670 0.9183
Er 0.5926 0.7330 0.0817
Sn 0.8617 0.7240 0.5525
Sn 0.1383 0.2760 0.4475
Sn 0.1330 0.8082 0.9257
Sn 0.8670 0.1918 0.0743
Sn 0.9735 0.8165 0.2365
Sn 0.0265 0.1835 0.7635

Properties
* total magnetic moment: 0.00 μB per formula unit
* DOS at the Fermi energy: 7.8 states/eV per cell

---

No. 2
Computed, not measured: LiErSn after structural relaxation at the GGA-PBE level of DFT.

Lattice parameters (Å, degrees): 4.0689 4.0689 5.3134 112.51 112.51 90.00
Sites, in units of the cell vectors:
Er 0.2786 0.2786 0.5572
Sn 0.6234 0.6234 0.2467
Li 0.9481 0.9481 0.8961

Properties
* total magnetic moment: 0.00 μB per formula unit
* DOS at the Fermi energy: 2.6 states/eV per cell

---

No. 3
Computed, not measured: LiEr2Sn9 after structural relaxation at the GGA-PBE level of DFT.

Lattice parameters (Å, degrees): 4.6421 4.6421 14.2755 90.00 90.00 90.00
Sites, in units of the cell vectors:
Li 0.0000 0.0000 0.0000
Er 0.0000 0.0000 0.3373
Er 0.0000 0.0000 0.6627
Sn 0.5000 0.5000 0.0000
Sn 0.5000 0.5000 0.3292
Sn 0.5000 0.5000 0.6708
Sn 0.5000 0.0000 0.1622
Sn 0.5000 0.0000 0.5000
Sn 0.5000 0.0000 0.8378
Sn 0.0000 0.5000 0.1622
Sn 0.0000 0.5000 0.5000
Sn 0.0000 0.5000 0.8378

Properties
* total magnetic moment: 0.00 μB per formula unit
* DOS at the Fermi energy: 5.5 states/eV per cell

---

DFT formation energy values (in eV per atom) by entry order: -0.629, -0.265, -0.312.
E_tot values (in eV/f.u.) by entry order: -32.0, -11.3, -50.8.